## SrMn2OsO8 (PBE with a Hubbard U)

Data for an optimized crystal structure of SrMn2OsO8.

Output
Its density of states at the Fermi level is 0.136 states/eV/atom. Its total magnetization is 8.01 μB per cell. The total energy comes out at -7.056 eV/atom.

Cell: 4.943 4.963 6.911 Å, 80.63 80.33 81.27°
Sites, in units of the cell vectors:
Sr: 0.000 0.000 0.000
Mn: 0.457 0.459 0.218
Mn: 0.543 0.541 0.782
Os: 0.000 0.000 0.500
O: 0.208 0.802 0.692
O: 0.215 0.808 0.304
O: 0.243 0.266 0.443
O: 0.328 0.345 0.994
O: 0.672 0.655 0.006
O: 0.757 0.734 0.557
O: 0.785 0.192 0.696
O: 0.792 0.198 0.308